Version 1
VAsOF2, optimized geometry, DFT PBE+U; SG = P4/mmm
1.0
4.131 0.000 0.000
0.000 4.131 0.000
0.000 0.000 3.860
V As O F
1 1 1 2
Direct
0.000 0.000 0.000 V
0.500 0.500 0.500 As
0.000 0.000 0.500 O
0.000 0.500 0.000 F
0.500 0.000 0.000 F

=====

Version 2
VAsOF2, optimized geometry, DFT PBE+U; SG = P4/mmm
1.0
4.401 0.000 0.000
0.000 4.401 0.000
0.000 0.000 3.929
V As O F
1 1 1 2
Direct
0.000 0.000 0.000 V
0.500 0.500 0.500 As
0.500 0.500 0.000 O
0.000 0.500 0.500 F
0.500 0.000 0.500 F

=====

Most stable: version 1

=====

Version 1
AsWOF2, optimized geometry, DFT PBE+U; SG = P4/mmm
1.0
4.338 0.000 0.000
0.000 4.338 0.000
0.000 0.000 4.038
As W O F
1 1 1 2
Direct
0.000 0.000 0.000 As
0.500 0.500 0.500 W
0.000 0.000 0.500 O
0.000 0.500 0.000 F
0.500 0.000 0.000 F

=====

Version 2
AsWOF2, optimized geometry, DFT PBE+U; SG = P4/mmm
1.0
4.220 0.000 0.000
0.000 4.220 0.000
0.000 0.000 4.301
As W O F
1 1 1 2
Direct
0.000 0.000 0.000 As
0.500 0.500 0.500 W
0.500 0.500 0.000 O
0.000 0.500 0.500 F
0.500 0.000 0.500 F

=====

Most stable: version 2